Here is a geometry-optimized Be2RuAu structure from the Alexandria database. Energies are from GGA-PBEsol.

For the energy above the most stable polymorph in this dataset, the calculation gives 77.5 meV/atom.

The structure belongs to space group Amm2 (No. 38); the cell edges are 3.5498, 3.0307 and 8.3707 Å and the angles 90.00°, 90.00° and 90.00°. The inequivalent atoms are Be at (0.0000, 0.0000, 0.0000), Be at (0.5000, 0.0000, 0.1589), Ru at (0.5000, 0.0000, 0.4453) and Au at (0.0000, 0.0000, 0.7263).

Here is a geometry-optimized Be2RuAu structure from the Alexandria database. Energies are from GGA-PBEsol.

For the energy above the most stable polymorph in this dataset, the calculation gives 274.4 meV/atom.

The structure belongs to space group C2/m (No. 12); the cell edges are 7.3295, 2.9600 and 4.6179 Å and the angles 90.00°, 106.76° and 90.00°. The inequivalent atoms are Be at (0.2455, 0.0000, 0.2134), Ru at (0.0000, 0.5000, 0.0000) and Au at (0.0000, 0.0000, 0.5000).

Here is a geometry-optimized BeAuS2 structure from the Alexandria database. Energies are from GGA-PBEsol.

For the raw formation energy, the calculation gives 0.0524 eV per atom.

The structure belongs to space group R-3m (No. 166, hexagonal axes); the cell edges are 3.9300, 3.9300 and 18.7450 Å and the angles 90.00°, 90.00° and 120.00°. The inequivalent atoms are Be at (0.0000, 0.0000, 0.0000), Au at (0.0000, 0.0000, 0.5000) and S at (0.0000, 0.0000, 0.1014).